Computed, not measured: KTl2Pd2 after structural relaxation at the GGA-PBE level of DFT.

DFT formation energy (meV/atom): -147.4
Energy above the most stable polymorph in this dataset (eV per formula unit): 0.115
Calculated density (g/cm3): 8.53
Total energy (eV/f.u.): -17.0

a = 6.4692 Å, b = 6.8572 Å, c = 6.9695 Å
α = 112.81°, β = 110.52°, γ = 95.41°
Space group P-1 (No. 2)
Symmetry-distinct sites (fractional):
1 K 0.0626 0.1963 0.3146 x2
2 Tl 0.1817 0.4144 0.8911 x2
3 Tl 0.4995 0.0646 0.7896 x2
4 Pd 0.2926 0.6894 0.3663 x2
5 Pd 0.4770 0.6395 0.7625 x2

Computed, not measured: KTlPd2 after structural relaxation at the GGA-PBE level of DFT.

DFT formation energy (meV/atom): -115.7
Calculated density (g/cm3): 6.52
Total energy (eV/f.u.): -14.3

a = 4.7316 Å, b = 12.3370 Å, c = 7.9629 Å
α = 90.00°, β = 90.00°, γ = 90.00°
Space group Cmcm (No. 63)
Symmetry-distinct sites (fractional):
1 K 0.0000 0.0412 0.2500 x4
2 Tl 0.0000 0.3129 0.2500 x4
3 Pd 0.0000 0.2282 0.5786 x8

Computed, not measured: KTl5Pd2 after structural relaxation at the GGA-PBE level of DFT.

DFT formation energy (meV/atom): -116.2
Energy above the most stable polymorph in this dataset (eV per formula unit): 0.000
Calculated density (g/cm3): 9.54
Total energy (eV/f.u.): -24.2

a = 4.3831 Å, b = 8.3587 Å, c = 12.1002 Å
α = 90.00°, β = 90.00°, γ = 90.00°
Space group Immm (No. 71)
Symmetry-distinct sites (fractional):
1 K 0.0000 0.0000 0.0000 x2
2 Tl 0.0000 0.2112 0.3512 x8
3 Tl 0.0000 0.5000 0.0000 x2
4 Pd 0.0000 0.5000 0.2294 x4

Computed, not measured: KTlPd after structural relaxation at the GGA-PBE level of DFT.

DFT formation energy (meV/atom): -99.2
Calculated density (g/cm3): 6.69
Total energy (eV/f.u.): -9.0

a = 3.7831 Å, b = 3.7831 Å, c = 12.1427 Å
α = 90.00°, β = 90.00°, γ = 90.00°
Space group I4mm (No. 107)
Symmetry-distinct sites (fractional):
1 K 0.0000 0.0000 0.0000 x2
2 Tl 0.0000 0.0000 0.7188 x2
3 Pd 0.0000 0.0000 0.2881 x2

Computed, not measured: K3Tl4Pd2 after structural relaxation at the GGA-PBE level of DFT.

DFT formation energy (meV/atom): -151.8
Energy above the most stable polymorph in this dataset (eV per formula unit): 0.000
Calculated density (g/cm3): 6.61
Total energy (eV/f.u.): -24.5

a = 13.1118 Å, b = 4.7972 Å, c = 9.1821 Å
α = 90.00°, β = 93.66°, γ = 90.00°
Space group C2/m (No. 12)
Symmetry-distinct sites (fractional):
1 K 0.0000 0.0000 0.0000 x2
2 K 0.0935 0.5000 0.6897 x4
3 Tl 0.1206 0.0000 0.3636 x4
4 Tl 0.2094 0.5000 0.1017 x4
5 Pd 0.2285 0.5000 0.4063 x4

Computed, not measured: KTl2Pd3 after structural relaxation at the GGA-PBE level of DFT.

DFT formation energy (meV/atom): -204.1
Energy above the most stable polymorph in this dataset (eV per formula unit): 0.000
Calculated density (g/cm3): 9.31
Total energy (eV/f.u.): -22.6

a = 5.9968 Å, b = 5.9968 Å, c = 4.3940 Å
α = 90.00°, β = 90.00°, γ = 120.00°
Space group P6/mmm (No. 191)
Symmetry-distinct sites (fractional):
1 K 0.0000 0.0000 0.0000 x1
2 Tl 0.3333 0.6667 0.0000 x2
3 Pd 0.0000 0.5000 0.5000 x3

Computed, not measured: K2Tl9Pd3 after structural relaxation at the GGA-PBE level of DFT.

DFT formation energy (meV/atom): -114.1
Calculated density (g/cm3): 10.01
Total energy (eV/f.u.): -40.7

a = 15.3123 Å, b = 8.7347 Å, c = 12.2190 Å
α = 90.00°, β = 114.75°, γ = 90.00°
Space group C2/c (No. 15)
Symmetry-distinct sites (fractional):
1 K 0.1701 0.0832 0.2490 x8
2 Tl 0.0000 0.3491 0.2500 x4
3 Tl 0.0588 0.0727 0.9230 x8
4 Tl 0.1029 0.4106 0.0521 x8
5 Tl 0.1137 0.3052 0.7471 x8
6 Tl 0.2280 0.4135 0.4271 x8
7 Pd 0.0846 0.2483 0.5013 x8
8 Pd 0.2500 0.2500 0.0000 x4

Computed, not measured: K2Tl4Pd after structural relaxation at the GGA-PBE level of DFT.

DFT formation energy (meV/atom): -32.6
Calculated density (g/cm3): 6.35
Total energy (eV/f.u.): -17.1

a = 5.3845 Å, b = 5.3845 Å, c = 18.0873 Å
α = 90.00°, β = 90.00°, γ = 90.00°
Space group I4/mmm (No. 139)
Symmetry-distinct sites (fractional):
1 K 0.0000 0.0000 0.1506 x4
2 Tl 0.0000 0.0000 0.3462 x4
3 Tl 0.0000 0.5000 0.0000 x4
4 Pd 0.0000 0.0000 0.5000 x2

Computed, not measured: KTlZn2Pd after structural relaxation at the GGA-PBE level of DFT.

DFT formation energy (meV/atom): -107.0
Calculated density (g/cm3): 5.96
Total energy (eV/f.u.): -11.7

a = 5.0215 Å, b = 5.0215 Å, c = 5.3142 Å
α = 90.00°, β = 90.00°, γ = 90.00°
Space group P4/mmm (No. 123)
Symmetry-distinct sites (fractional):
1 K 0.0000 0.0000 0.0000 x1
2 Tl 0.5000 0.5000 0.0000 x1
3 Zn 0.0000 0.5000 0.5000 x2
4 Pd 0.5000 0.5000 0.5000 x1

Computed, not measured: KVPd3 after structural relaxation at the GGA-PBE level of DFT.

DFT formation energy (meV/atom): 1639.9
Energy above the most stable polymorph in this dataset (eV per formula unit): 6.054
Calculated density (g/cm3): 5.70
Total energy (eV/f.u.): -17.6

a = 4.9214 Å, b = 4.9214 Å, c = 4.9214 Å
α = 90.00°, β = 90.00°, γ = 90.00°
Space group Pm-3m (No. 221)
Symmetry-distinct sites (fractional):
1 K 0.0000 0.0000 0.0000 x1
2 V 0.5000 0.5000 0.5000 x1
3 Pd 0.0000 0.0000 0.5000 x3

Computed, not measured: KVPd2 after structural relaxation at the GGA-PBE level of DFT.

DFT formation energy (meV/atom): 566.1
Calculated density (g/cm3): 6.54
Total energy (eV/f.u.): -18.3

a = 6.7505 Å, b = 6.7505 Å, c = 6.7505 Å
α = 90.00°, β = 90.00°, γ = 90.00°
Space group Fm-3m (No. 225)
Symmetry-distinct sites (fractional):
1 K 0.0000 0.0000 0.0000 x4
2 V 0.0000 0.0000 0.5000 x4
3 Pd 0.2500 0.2500 0.2500 x8

Computed, not measured: KV2Pd after structural relaxation at the GGA-PBE level of DFT.

DFT formation energy (meV/atom): 1171.2
Energy above the most stable polymorph in this dataset (eV per formula unit): 0.056
Calculated density (g/cm3): 4.31
Total energy (eV/f.u.): -19.8

a = 4.4608 Å, b = 4.4608 Å, c = 19.1544 Å
α = 90.00°, β = 90.00°, γ = 90.00°
Space group I-42d (No. 122)
Symmetry-distinct sites (fractional):
1 K 0.0000 0.0000 0.0000 x4
2 V 0.0161 0.2500 0.6250 x8
3 Pd 0.0000 0.0000 0.5000 x4

Question: What is the DFT formation energy in the tenth record?
Answer: 1639.9 meV/atom

Question: The highest total energy belongs to which entry?
Answer: KTlPd

Question: Look up the calculated density of the fifth one.
Answer: 6.61 g/cm3

Question: calculated density of number 2 (KTlPd2)?
Answer: 6.52 g/cm3